Here is a geometry-optimized Li2VF structure from the Alexandria database. Energies are from GGA+U.

Unit cell a=5.933 b=5.933 c=8.147 alpha=90.00 beta=90.00 gamma=90.00
Space group I-42d (No. 122)
Unique sites:
Li1 0.067 0.250 0.125 [8 per cell]
V1 0.000 0.000 0.500 [4 per cell]
F1 0.000 0.000 0.000 [4 per cell]

D(E_F) ... 0.294 states/eV per atom
E_tot ... -3.95 eV/atom
Relative energy among the computed polymorphs ... 0.000 eV per atom